(1)
## Mg5Co (meta-GGA SCAN)

Data for a PBEsol-optimized structure of Mg5Co.

The structure in extended XYZ format:
```
6
Lattice="3.1388 0.0000 0.0000 -1.5694 5.2974 -0.0063 0.0000 -2.6345 6.8576" Properties=species:S:1:pos:R:3 pbc="T T T"
Mg 0.0000 1.5489 4.5020
Mg 1.5694 0.8183 1.5883
Mg 1.5694 -0.9599 5.5444
Mg 1.5694 3.8323 3.0418
Mg 0.0000 3.3265 0.5454
Co 1.5694 2.5153 6.4709
```

Summary:
As for the space group: C2/m, No. 12. The calculation puts the electronic total energy at -6.9689 eV per atom. The calculation puts the polymorph energy (0 for the lowest one) at 6.1 meV per atom.

---

(2)
## BaZr2Sb (meta-GGA SCAN)

Data for a PBEsol-optimized structure of BaZr2Sb.

The structure in extended XYZ format:
```
4
Lattice="-2.4795 4.5472 1.0501 -4.7269 0.9889 -2.1461 -4.3284 0.0105 3.0318" Properties=species:S:1:pos:R:3 pbc="T T T"
Ba -5.7674 2.7733 0.9679
Sb -2.8837 1.3866 0.4839
Zr 0.0000 0.0000 0.0000
Zr -8.6511 4.1599 1.4518
```

Summary:
For the formation energy without anion corrections, the calculation gives 0.23 eV/atom. As for the space group: F-43m, No. 216. The calculation puts the electronic total energy at -34.3221 eV per atom.

---

(3)
## Zr6Zn16Cu7 (meta-GGA SCAN)

Data for a PBEsol-optimized structure of Zr6Zn16Cu7.

The structure in extended XYZ format:
```
29
Lattice="8.4332 0.0000 0.0000 4.2166 7.3034 0.0000 4.2166 2.4345 6.8857" Properties=species:S:1:pos:R:3 pbc="T T T"
Cu 0.0000 0.0000 0.0000
Cu 4.2166 4.8689 3.4429
Cu 4.2166 0.0000 0.0000
Cu 6.3249 1.2172 3.4429
Cu 2.1083 3.6517 0.0000
Cu 2.1083 1.2172 3.4429
Cu 6.3249 3.6517 0.0000
Zn 4.2166 2.4345 4.4071
Zn 2.0238 1.1684 0.8262
Zn 6.4095 1.1684 0.8262
Zn 4.2166 4.9666 0.8262
Zn 14.8427 8.5694 6.0595
Zn 12.6499 7.3034 2.4786
Zn 10.4570 8.5694 6.0595
Zn 12.6499 4.7713 6.0595
Zn 4.2166 2.4345 0.0170
Zn 5.6083 3.2380 2.2896
Zn 2.8249 3.2380 2.2896
Zn 4.2166 0.8275 2.2896
Zn 11.2582 6.4999 4.5961
Zn 12.6498 7.3034 6.8687
Zn 14.0415 6.4999 4.5961
Zn 12.6498 8.9104 4.5961
Zr 8.4332 6.7701 4.7872
Zr 8.4332 2.9678 2.0986
Zr 10.0797 3.9184 4.7872
Zr 6.7868 5.8195 2.0986
Zr 6.7868 3.9184 4.7872
Zr 10.0797 5.8195 2.0986
```

Summary:
As for the space group: Fm-3m, No. 225. The calculation puts the electronic total energy at -17.7870 eV per atom.

---

(4)
## BaNaGaF6 (meta-GGA SCAN)

Data for a PBEsol-optimized structure of BaNaGaF6.

The structure in extended XYZ format:
```
72
Lattice="5.5029 0.0000 0.0000 0.0000 9.9688 0.0000 0.0000 0.0000 18.8344" Properties=species:S:1:pos:R:3 pbc="T T T"
Ba 4.1897 3.6647 2.0741
Ba 1.3132 8.6491 16.7603
Ba 4.0647 3.6647 11.4913
Ba 1.4382 8.6491 7.3431
Ba 1.4594 0.0104 2.6132
Ba 4.0435 4.9948 16.2212
Ba 1.2920 0.0104 12.0304
Ba 4.2109 4.9948 6.8040
Na 1.4713 6.3416 1.2439
Na 4.0316 1.3572 17.5905
Na 1.2802 6.3416 10.6611
Na 4.2227 1.3572 8.1733
Na 1.4130 2.3171 5.9067
Na 4.0899 7.3015 12.9277
Na 1.3385 2.3171 15.3239
Na 4.1644 7.3015 3.5105
Ga 1.4962 2.5908 9.2782
Ga 4.0067 7.5751 9.5562
Ga 1.2552 2.5908 18.6954
Ga 4.2477 7.5751 0.1390
Ga 1.3559 6.0523 4.5930
Ga 4.1470 1.0679 14.2413
Ga 1.3955 6.0523 14.0102
Ga 4.1074 1.0679 4.8241
F 0.1304 1.6905 1.1357
F 5.3725 6.6749 17.6987
F 2.6210 1.6905 10.5529
F 2.8819 6.6749 8.2815
F 1.9214 1.1744 8.0578
F 3.5815 6.1588 10.7766
F 0.8301 1.1744 17.4750
F 4.6728 6.1588 1.3594
F 2.7100 1.6202 0.6260
F 2.7929 6.6045 18.2084
F 0.0414 1.6202 10.0432
F 5.4615 6.6045 8.7912
F 2.5218 5.4041 3.2629
F 2.9811 0.4197 15.5715
F 0.2297 5.4041 12.6801
F 5.2732 0.4197 6.1543
F 2.9332 1.9711 3.5945
F 2.5697 6.9554 15.2399
F 5.3211 1.9711 13.0117
F 0.1818 6.9554 5.8227
F 1.6721 4.6440 5.8200
F 3.8308 9.6283 13.0144
F 1.0794 4.6440 15.2372
F 4.4235 9.6283 3.5972
F 0.3646 3.2307 7.9127
F 5.1383 8.2150 10.9216
F 2.3868 3.2307 17.3299
F 3.1161 8.2150 1.5045
F 0.0457 2.0335 4.0397
F 5.4572 7.0179 14.7947
F 2.7057 2.0335 13.4569
F 2.7972 7.0179 5.3775
F 3.1008 3.4987 8.7720
F 2.4021 8.4831 10.0624
F 5.1535 3.4987 18.1892
F 0.3494 8.4831 0.6452
F 0.9748 7.4693 3.3594
F 4.5281 2.4849 15.4750
F 1.7767 7.4693 12.7766
F 3.7262 2.4849 6.0578
F 1.6087 4.0096 1.0684
F 3.8942 8.9940 17.7660
F 1.1428 4.0096 10.4856
F 4.3601 8.9940 8.3488
F 2.5251 0.1519 5.3764
F 2.9778 5.1362 13.4580
F 0.2263 0.1519 14.7936
F 5.2766 5.1362 4.0408
```

Summary:
For the formation energy without anion corrections, the calculation gives -3.35 eV/atom. As for the space group: Pna2_1, No. 33. The calculation puts the electronic total energy at -12.3864 eV per atom.

---

(5)
## YIn (meta-GGA SCAN)

Data for a PBEsol-optimized structure of YIn.

The structure in extended XYZ format:
```
2
Lattice="-2.3868 -1.2950 2.5096 2.0806 -3.0282 0.4161 1.9096 1.6808 2.6834" Properties=species:S:1:pos:R:3 pbc="T T T"
Y 0.0000 0.0000 0.0000
In 0.8017 -1.3212 2.8046
```

Summary:
As for the space group: Pm-3m, No. 221. The calculation puts the electronic total energy at -31.2905 eV per atom.

---

(6)
## RbTcS3 (meta-GGA SCAN)

Data for a PBEsol-optimized structure of RbTcS3.

The structure in extended XYZ format:
```
5
Lattice="5.1525 0.0000 0.0000 0.0000 5.1525 0.0000 0.0000 0.0000 5.1525" Properties=species:S:1:pos:R:3 pbc="T T T"
S 0.0000 2.5762 0.0000
S 0.0000 0.0000 2.5762
S 2.5762 0.0000 0.0000
Tc 2.5762 2.5762 2.5762
Rb 0.0000 0.0000 0.0000
```

Summary:
For the formation energy without anion corrections, the calculation gives 1.82 eV/atom. As for the space group: Pm-3m, No. 221. The calculation puts the electronic total energy at -15.1174 eV per atom. The calculation puts the polymorph energy (0 for the lowest one) at 2242.7 meV per atom.